LiMn2H | PBE | relaxed

Properties
SG   Fm-3m, No. 225
Energy above the lowest structure with this stoichiometry   0.4154 eV/atom

a b c (Å): 3.8878 3.8878 3.8878
angles (deg): 60.00 60.00 60.00
Each line ends with the local moment (μB).
Atoms (fractional coordinates):
Mn  0.7500  0.7500  0.7500  2.90
Mn  0.2500  0.2500  0.2500  2.90
Li  0.5000  0.5000  0.5000  -0.07
H  0.0000  0.0000  0.0000  -0.04

=====

Mn2Tc | PBE | relaxed

Properties
SG   Fd-3m, No. 227
Energy above the lowest structure with this stoichiometry   0.0287 eV/atom
DFT formation energy   -0.0536 eV per atom

a b c (Å): 4.6659 4.6659 4.6659
angles (deg): 60.00 60.00 60.00
Atoms (fractional coordinates):
Mn  0.0000  0.0000  0.5000
Tc  0.8750  0.3750  0.8750
Tc  0.1250  0.6250  0.1250
Mn  0.5000  0.0000  0.5000
Mn  0.5000  0.5000  0.5000
Mn  0.5000  0.0000  0.0000

=====

Ta4AlC | PBE | relaxed

Properties
SG   P2_1/c, No. 14
DFT formation energy   0.1247 eV per atom

a b c (Å): 4.9124 6.2866 7.8131
angles (deg): 118.57 90.00 90.00
Atoms (fractional coordinates):
Ta  0.7579  0.1704  0.8643
Ta  0.7421  0.6704  0.8643
Ta  0.2579  0.3296  0.1357
Ta  0.2842  0.8704  0.7646
C  0.5000  0.5000  0.0000
C  0.0000  0.0000  0.0000
Ta  0.7842  0.6296  0.2354
Ta  0.2421  0.8296  0.1357
Ta  0.2158  0.3704  0.7646
Al  0.0000  0.5000  0.5000
Al  0.5000  0.0000  0.5000
Ta  0.7158  0.1296  0.2354

=====

LaSi3F | PBE | relaxed

Properties
SG   Pm-3m, No. 221
Energy above the lowest structure with this stoichiometry   1.5176 eV/atom
Formation energy (no corrections)   1.1924 eV/atom

a b c (Å): 5.6243 5.6243 5.6243
angles (deg): 90.00 90.00 90.00
Atoms (fractional coordinates):
Si  0.0000  0.5000  0.0000
F  0.5000  0.5000  0.5000
La  0.0000  0.0000  0.0000
Si  0.5000  0.0000  0.0000
Si  0.0000  0.0000  0.5000

=====

Taking the records one at a time from the top gives raw total energy values of -20.375; -57.732; -119.258; -17.106 eV for the cell shown.